Density functional theory data (GGA-PBE) for crystalline TlMo2Ru at its relaxed geometry.

Properties
* energy: -7.79 eV/atom
* SG: Imm2
* D(E_F): 0.854 states/eV per atom
* mass density: 12.1 g cm⁻³
* total magnetic moment: 0.00 μB/atom
* ΔE_f: 0.539 eV/atom

The structure in POSCAR format:
```
TlMo2Ru
1.0
5.360 0.005 0.002
2.333 4.826 -0.002
-3.283 -3.314 2.641
Mo Ru Tl
2 1 1
Cartesian
7.511 4.716 0.000
3.018 -0.412 1.322
3.969 2.492 0.000
1.452 1.966 1.320
```

***

Density functional theory data (GGA-PBE) for crystalline Ac2GeIr2 at its relaxed geometry.

Properties
* energy: -6.80 eV/atom
* SG: C2/c
* D(E_F): 0.636 states/eV per atom
* mass density: 12.6 g cm⁻³
* total magnetic moment: 0.00 μB/atom
* ΔE_f: -0.687 eV/atom

The structure in POSCAR format:
```
Ac2GeIr2
1.0
5.907 0.143 0.124
2.796 5.205 0.124
1.435 0.882 7.970
Ac Ge Ir
4 2 4
Cartesian
3.714 1.292 1.270
6.590 3.059 2.963
6.425 4.937 6.948
3.549 3.170 5.255
3.533 4.811 2.116
6.606 1.418 6.101
7.871 5.737 4.187
0.746 1.360 0.046
2.268 0.492 4.031
9.392 4.869 8.172
```